Below is a crystal of Re2HgBi relaxed with PBEsol, with properties calculated at the meta-GGA SCAN level.

abc: 6.5754 6.5754 6.5754
angles: 90.00 90.00 90.00
Space group Fm-3m (No. 225)
Symmetry-distinct sites (fractional):
Re 0.2500 0.2500 0.2500 (multiplicity 8)
Hg 0.0000 0.0000 0.0000 (multiplicity 4)
Bi 0.0000 0.0000 0.5000 (multiplicity 4)

Total energy: -70.799 eV/atom

---

Below is a crystal of HgBi2Rh2 relaxed with PBEsol, with properties calculated at the meta-GGA SCAN level.

abc: 3.9578 3.9578 15.6296
angles: 90.00 90.00 90.00
Space group I4/mmm (No. 139)
Symmetry-distinct sites (fractional):
Hg 0.0000 0.0000 0.0000 (multiplicity 2)
Bi 0.0000 0.0000 0.3648 (multiplicity 4)
Rh 0.0000 0.5000 0.2500 (multiplicity 4)

Total energy: -58.609 eV/atom

---

Below is a crystal of Hg2BiRuS relaxed with PBEsol, with properties calculated at the meta-GGA SCAN level.

abc: 5.5503 5.5503 5.1769
angles: 90.00 90.00 90.00
Space group P4/mmm (No. 123)
Symmetry-distinct sites (fractional):
Hg 0.0000 0.5000 0.0000 (multiplicity 2)
Bi 0.0000 0.0000 0.0000 (multiplicity 1)
Ru 0.5000 0.5000 0.5000 (multiplicity 1)
S 0.0000 0.0000 0.5000 (multiplicity 1)

Energy relative to the elements, uncorrected: 1.270 eV per atom